DFT (PBE-GGA) results for a geometry-optimized NdTcAg2O6 structure.

Lattice parameters (Å, degrees): 5.7412 5.7411 5.9127 60.96 60.96 60.00
Fractional positions:
1 O 0.2052 0.9927 0.2648
2 O 0.5372 0.2051 0.2650
3 O 0.1132 0.4288 0.8100
4 O 0.9926 0.5373 0.2648
5 O 0.4288 0.6480 0.8103
6 O 0.6480 0.1131 0.8101
7 Tc 0.3141 0.3141 0.0578
8 Nd 0.8113 0.8113 0.5660
9 Ag 0.0673 0.0672 0.7981
10 Ag 0.5439 0.5439 0.3683

## Properties
The space group is R3. Its final energy is -0.236 hartree per atom.